# TaCd2Fe (meta-GGA SCAN, single point on PBEsol structure)
# **Calculated volume**: 67.1 Å³/f.u.
# **Energy above the lowest structure with this stoichiometry**: 166.1 meV/atom
# **Total energy**: -36.036 eV/atom
# **Formation energy**: 349.8 meV per atom
data_TaCd2Fe
_chemical_formula_sum 'Ta1 Cd2 Fe1'
_space_group_name_H-M_alt 'P m m m'
_space_group_IT_number 47
_cell_length_a 2.765
_cell_length_b 4.329
_cell_length_c 5.608
_cell_angle_alpha 90.00
_cell_angle_beta 90.00
_cell_angle_gamma 90.00
loop_
_space_group_symop_operation_xyz
'x,y,z'
'-x,-y,-z'
'-x,-y,z'
'x,y,-z'
'x,-y,-z'
'-x,y,z'
'-x,y,-z'
'x,-y,z'
loop_
_atom_site_label
_atom_site_type_symbol
_atom_site_fract_x
_atom_site_fract_y
_atom_site_fract_z
Ta1 Ta 0.000 0.000 0.000
Cd1 Cd 0.500 0.500 0.259
Fe1 Fe 0.000 0.000 0.500